Computed, not measured: crystalline Cu4ReTe at its relaxed geometry at the PBE level of DFT.

The structure in POSCAR format:
```
Cu4ReTe
1.0
-0.9618 -0.2728 4.8389
-3.4764 2.8897 1.9946
-4.2513 -1.9714 1.5666
Cu Re Te
4 1 1
Direct
0.3759 0.3759 0.8724
0.8724 0.3759 0.3759
0.3759 0.3759 0.3759
0.3759 0.8724 0.3759
0.7500 0.7500 0.7500
0.0000 0.0000 0.0000
```

Properties
electronic total energy	-4.806	eV per atom
crystal system	cubic
E_form (uncorrected)	523.2	meV per atom